1.
Entry from Alexandria: crystalline HgPtRh2 at its relaxed geometry (GGA-PBE).

```
data_HgPtRh2
_chemical_formula_sum 'Hg4 Pt4 Rh8'
_space_group_name_H-M_alt 'I -4 2 d'
_space_group_IT_number 122
_space_group_name_Hall 'I -4 2bw'
_cell_length_a 3.889
_cell_length_b 3.889
_cell_length_c 18.822
_cell_angle_alpha 90.00
_cell_angle_beta 90.00
_cell_angle_gamma 90.00
loop_
_atom_site_label
_atom_site_fract_x
_atom_site_fract_y
_atom_site_fract_z
Hg1 0.000 0.000 0.000
Pt1 0.000 0.000 0.500
Rh1 0.213 0.250 0.625
```

Computed properties:
Crystal system = tetragonal
Raw total energy = -4.80 eV/atom
Magnetic moment = 0.00 μB/f.u.

---

2.
Entry from Alexandria: crystalline HgPtRh2 at its relaxed geometry (GGA-PBE).

```
data_HgPtRh2
_chemical_formula_sum 'Hg1 Pt1 Rh2'
_space_group_name_H-M_alt 'P 4/m m m'
_space_group_IT_number 123
_space_group_name_Hall '-P 4 2'
_cell_length_a 2.858
_cell_length_b 2.858
_cell_length_c 7.902
_cell_angle_alpha 90.00
_cell_angle_beta 90.00
_cell_angle_gamma 90.00
loop_
_atom_site_label
_atom_site_fract_x
_atom_site_fract_y
_atom_site_fract_z
Hg1 0.000 0.000 0.000
Pt1 0.000 0.000 0.500
Rh1 0.500 0.500 0.269
```

Computed properties:
Crystal system = tetragonal
Raw total energy = -5.14 eV/atom
Magnetic moment = 0.00 μB/f.u.

---

3.
Entry from Alexandria: crystalline HgPt2Rh2 at its relaxed geometry (GGA-PBE).

```
data_HgPt2Rh2
_chemical_formula_sum 'Hg2 Pt4 Rh4'
_space_group_name_H-M_alt 'P 4/m b m'
_space_group_IT_number 127
_space_group_name_Hall '-P 4 2ab'
_cell_length_a 7.744
_cell_length_b 7.744
_cell_length_c 2.805
_cell_angle_alpha 90.00
_cell_angle_beta 90.00
_cell_angle_gamma 90.00
loop_
_atom_site_label
_atom_site_fract_x
_atom_site_fract_y
_atom_site_fract_z
Hg1 0.000 0.000 0.000
Pt1 0.173 0.327 0.500
Rh1 0.124 0.624 0.000
```

Computed properties:
Crystal system = tetragonal
E above lowest polymorph = 3 meV/atom
Magnetic moment = 0.00 μB/f.u.